[1]
Below is a relaxed structure of Rb2S6F, with properties calculated at the PBE level.

formation energy (no corrections) = -652 meV per atom
density = 2.3 g/cm³

```
data_Rb2S6F
_space_group_name_H-M_alt 'P 1'
_space_group_IT_number 1
_space_group_name_Hall 'P 1'
_cell_length_a 8.1798
_cell_length_b 8.1798
_cell_length_c 4.3476
_cell_angle_alpha 100.38
_cell_angle_beta 100.38
_cell_angle_gamma 100.84
loop_
_atom_site_label
_atom_site_type_symbol
_atom_site_fract_x
_atom_site_fract_y
_atom_site_fract_z
Rb1 Rb 0.1369 0.8631 0.0000
Rb2 Rb 0.8631 0.1369 0.0000
S1 S 0.2517 0.5453 0.4558
S2 S 0.3430 0.3430 0.1926
S3 S 0.4547 0.7483 0.5442
S4 S 0.5453 0.2517 0.4558
S5 S 0.6570 0.6570 0.8074
S6 S 0.7483 0.4547 0.5442
F1 F 0.0000 0.0000 0.5000
```



[2]
Below is a relaxed structure of Rb3SF, with properties calculated at the PBE level.

formation energy (no corrections) = -1620 meV per atom
density = 3.2 g/cm³
relative energy among the computed polymorphs = 0 meV/atom

```
data_Rb3SF
_space_group_name_H-M_alt 'P 1'
_space_group_IT_number 1
_space_group_name_Hall 'P 1'
_cell_length_a 5.4648
_cell_length_b 7.5870
_cell_length_c 7.5879
_cell_angle_alpha 90.00
_cell_angle_beta 90.00
_cell_angle_gamma 90.00
loop_
_atom_site_label
_atom_site_type_symbol
_atom_site_fract_x
_atom_site_fract_y
_atom_site_fract_z
Rb1 Rb 0.0000 0.0661 0.0000
Rb2 Rb 0.0000 0.4325 0.6336
Rb3 Rb 0.0000 0.5675 0.1336
Rb4 Rb 0.0000 0.9339 0.5000
Rb5 Rb 0.5000 0.2491 0.3159
Rb6 Rb 0.5000 0.7509 0.8159
S1 S 0.5000 0.2482 0.8150
S2 S 0.5000 0.7518 0.3150
F1 F 0.0000 0.2506 0.3161
F2 F 0.0000 0.7494 0.8161
```